Entry 1:
The following is a PBE-GGA calculation of a relaxed NiMoPt2Rh2 crystal, from Alexandria. Values from VASP.

```
&SYSTEM
  ibrav = 0, nat = 12, ntyp = 4
/
ATOMIC_SPECIES
Ni 58.69 Ni.upf
Rh 102.91 Rh.upf
Pt 195.08 Pt.upf
Mo 95.94 Mo.upf
CELL_PARAMETERS angstrom
-0.432 4.628 2.733
-5.234 -2.410 3.253
3.596 -1.535 3.168
ATOMIC_POSITIONS crystal
Ni 0.750 0.492 0.980
Rh 0.750 0.512 0.478
Pt 0.502 0.190 0.177
Ni 0.250 0.508 0.020
Rh 0.250 0.863 0.331
Pt 0.498 0.810 0.823
Pt 0.998 0.190 0.177
Mo 0.250 0.165 0.705
Rh 0.250 0.488 0.522
Mo 0.750 0.835 0.295
Rh 0.750 0.137 0.669
Pt 0.002 0.810 0.823
```

Results
- Energy of formation: -0.12 eV/f.u.

=====

Entry 2:
The following is a PBE-GGA calculation of a relaxed RbTlHg5 crystal, from Alexandria. Values from VASP.

```
&SYSTEM
  ibrav = 0, nat = 7, ntyp = 3
/
ATOMIC_SPECIES
Hg 200.59 Hg.upf
Tl 204.38 Tl.upf
Rb 85.47 Rb.upf
CELL_PARAMETERS angstrom
4.569 0.000 0.000
0.000 4.569 0.000
0.000 0.000 11.237
ATOMIC_POSITIONS crystal
Hg 0.000 0.500 0.241
Tl 0.500 0.500 0.000
Hg 0.500 0.000 0.759
Hg 0.000 0.000 0.000
Hg 0.000 0.500 0.759
Hg 0.500 0.000 0.241
Rb 0.000 0.000 0.500
```

Results
- Energy of formation: -0.77 eV/f.u.

=====

Entry 3:
The following is a PBE-GGA calculation of a relaxed CsK2BaH crystal, from Alexandria. Values from VASP.

```
&SYSTEM
  ibrav = 0, nat = 5, ntyp = 4
/
ATOMIC_SPECIES
K 39.10 K.upf
Ba 137.33 Ba.upf
H 1.01 H.upf
Cs 132.91 Cs.upf
CELL_PARAMETERS angstrom
-1.316 -6.298 4.116
1.986 -4.321 -5.976
4.905 0.028 1.610
ATOMIC_POSITIONS crystal
K 0.000 0.500 0.000
Ba 0.000 0.000 0.500
K 0.500 0.000 0.000
H 0.000 0.000 0.000
Cs 0.500 0.500 0.500
```

Results
- Final energy: -1.64 eV per atom

=====

Entry 4:
The following is a PBE-GGA calculation of a relaxed Sm4DySc2 crystal, from Alexandria. Values from VASP.

```
&SYSTEM
  ibrav = 0, nat = 14, ntyp = 3
/
ATOMIC_SPECIES
Sc 44.96 Sc.upf
Sm 150.36 Sm.upf
Dy 162.50 Dy.upf
CELL_PARAMETERS angstrom
-5.242 1.476 -0.896
-1.037 -5.799 -3.484
-0.515 -6.006 10.150
ATOMIC_POSITIONS crystal
Sc 0.787 0.750 0.578
Sm 0.644 0.001 0.289
Sm 0.069 0.250 0.143
Dy 0.077 0.750 0.148
Sm 0.785 0.250 0.566
Sm 0.356 0.501 0.711
Dy 0.923 0.250 0.852
Sc 0.503 0.750 0.999
Sc 0.213 0.250 0.422
Sm 0.644 0.499 0.289
Sm 0.215 0.750 0.434
Sc 0.497 0.250 0.001
Sm 0.356 0.999 0.711
Sm 0.931 0.750 0.857
```

Results
- Relative energy among the computed polymorphs: 0.000 eV/f.u.
- Energy of formation: 1.07 eV/f.u.